The following is a DFT calculation (PBE) of crystalline CsYSb2Te at its relaxed geometry.

## Properties
ΔE to the lowest computed polymorph	1.424	eV per atom
raw formation energy	1033	meV/atom

Cell and atoms, written as POSCAR:
```
CsYSb2Te
1.0
5.964 0.000 0.000
0.000 5.964 0.000
0.000 0.000 6.088
Cs Y Sb Te
1 1 2 1
Cartesian
0.000 0.000 0.000
2.982 2.982 3.044
0.000 2.982 0.000
2.982 0.000 0.000
0.000 0.000 3.044
```